Version w
Entry from Alexandria: crystalline PuMgC at its relaxed geometry (PBE).

Unit cell a=3.534 b=3.534 c=8.594 alpha=90.00 beta=90.00 gamma=90.00
Each line ends with the local moment (μB).
Positions (direct):
C: 0.000 0.500 0.630  -0.21
C: 0.500 0.000 0.370  -0.21
Pu: 0.500 0.000 0.644  4.53
Pu: 0.000 0.500 0.356  4.53
Mg: 0.000 0.500 0.896  0.01
Mg: 0.500 0.000 0.104  0.01

Symmetry ... P4/nmm (129)

---

Version x
Entry from Alexandria: crystalline PuMgC at its relaxed geometry (PBE).

Unit cell a=5.022 b=3.820 c=3.820 alpha=120.00 beta=90.00 gamma=90.00
Each line ends with the local moment (μB).
Positions (direct):
Mg: 0.667 0.667 0.333  0.01
C: 0.166 0.333 0.667  -0.14
Pu: 0.167 0.000 0.000  4.44

Symmetry ... P-6m2 (187)

---

Quick ranking, most stable first: version w, version x.

---

Version w
Entry from Alexandria: crystalline RbMg6C at its relaxed geometry (PBE).

Unit cell a=8.652 b=8.652 c=3.369 alpha=90.00 beta=90.00 gamma=123.42
Positions (direct):
Rb: 0.788 0.212 0.500
Mg: 0.874 0.747 0.500
Mg: 0.253 0.126 0.500
Mg: 0.572 0.749 0.000
Mg: 0.251 0.428 0.000
Mg: 0.572 0.428 0.000
Mg: 0.213 0.787 0.000
C: 0.477 0.523 0.500

Symmetry ... Amm2 (38)

---

Version x
Entry from Alexandria: crystalline RbMg6C at its relaxed geometry (PBE).

Unit cell a=8.327 b=8.327 c=3.312 alpha=90.00 beta=90.00 gamma=120.31
Positions (direct):
Rb: 0.159 0.841 0.000
Mg: 0.198 0.455 0.000
Mg: 0.545 0.802 0.000
Mg: 0.712 0.288 0.000
Mg: 0.367 0.296 0.500
Mg: 0.704 0.633 0.500
Mg: 0.910 0.090 0.500
C: 0.405 0.595 0.500

Symmetry ... Amm2 (38)

---

Quick ranking, most stable first: version x, version w.

---

Version w
Entry from Alexandria: crystalline RbMgC3 at its relaxed geometry (PBE).

Unit cell a=4.522 b=4.522 c=4.522 alpha=90.00 beta=90.00 gamma=90.00
Each line ends with the local moment (μB).
Positions (direct):
Mg: 0.500 0.500 0.500  -0.01
C: 0.000 0.500 0.000  0.20
C: 0.000 0.000 0.500  0.20
C: 0.500 0.000 0.000  0.17
Rb: 0.000 0.000 0.000  0.02

Symmetry ... Pm-3m (221)

---

Version x
Entry from Alexandria: crystalline RbMgC3 at its relaxed geometry (PBE).

Unit cell a=4.411 b=4.411 c=4.411 alpha=90.00 beta=90.00 gamma=90.00
Positions (direct):
Mg: 0.000 0.000 0.000
C: 0.000 0.500 0.000
C: 0.000 0.000 0.500
C: 0.500 0.000 0.000
Rb: 0.500 0.500 0.500

Symmetry ... Pm-3m (221)

---

Quick ranking, most stable first: version x, version w.

---

Version w
Entry from Alexandria: crystalline RbMg3C at its relaxed geometry (PBE).

Unit cell a=7.312 b=7.312 c=7.312 alpha=90.00 beta=90.00 gamma=90.00
Each line ends with the local moment (μB).
Positions (direct):
Mg: 0.000 0.500 0.000  0.01
Mg: 0.000 0.000 0.500  0.00
Mg: 0.500 0.000 0.000  0.01
C: 0.500 0.500 0.500  1.09
Rb: 0.000 0.000 0.000  0.01

Symmetry ... Pm-3m (221)

---

Version x
Entry from Alexandria: crystalline RbMg3C at its relaxed geometry (PBE).

Unit cell a=4.889 b=4.889 c=4.889 alpha=90.00 beta=90.00 gamma=90.00
Positions (direct):
Mg: 0.000 0.500 0.000
Mg: 0.000 0.000 0.500
Mg: 0.500 0.000 0.000
C: 0.000 0.000 0.000
Rb: 0.500 0.500 0.500

Symmetry ... Pm-3m (221)

---

Quick ranking, most stable first: version x, version w.

---

Version w
Entry from Alexandria: crystalline MgRe2C at its relaxed geometry (PBE).

Unit cell a=4.982 b=4.982 c=7.030 alpha=69.25 beta=69.25 gamma=90.00
Positions (direct):
Re: 0.434 0.125 0.250
Re: 0.316 0.625 0.250
Re: 0.375 0.566 0.750
Re: 0.875 0.684 0.750
Mg: 0.000 0.000 0.000
Mg: 0.750 0.250 0.500
C: 0.500 0.500 0.000
C: 0.250 0.750 0.500

Symmetry ... I-42d (122)

---

Version x
Entry from Alexandria: crystalline MgRe2C at its relaxed geometry (PBE).

Unit cell a=4.172 b=4.172 c=4.172 alpha=60.00 beta=60.00 gamma=60.00
Positions (direct):
Re: 0.250 0.250 0.250
Re: 0.750 0.750 0.750
Mg: 0.500 0.500 0.500
C: 0.000 0.000 0.000

Symmetry ... Fm-3m (225)

---

Quick ranking, most stable first: version w, version x.

---

Version w
Entry from Alexandria: crystalline MgRu2C at its relaxed geometry (PBE).

Unit cell a=3.144 b=3.144 c=6.876 alpha=76.78 beta=76.78 gamma=60.00
Positions (direct):
Ru: 0.284 0.284 0.149
Ru: 0.716 0.716 0.851
Mg: 0.500 0.500 0.500
C: 0.000 0.000 0.000

Symmetry ... R-3m (166)

---

Version x
Entry from Alexandria: crystalline MgRu2C at its relaxed geometry (PBE).

Unit cell a=4.090 b=4.090 c=4.090 alpha=60.00 beta=60.00 gamma=60.00
Positions (direct):
Ru: 0.250 0.250 0.250
Ru: 0.750 0.750 0.750
Mg: 0.500 0.500 0.500
C: 0.000 0.000 0.000

Symmetry ... Fm-3m (225)

---

Version y
Entry from Alexandria: crystalline MgRu2C at its relaxed geometry (PBE).

Unit cell a=6.695 b=6.695 c=5.297 alpha=50.80 beta=50.80 gamma=90.00
Positions (direct):
Ru: 0.517 0.125 0.250
Ru: 0.233 0.625 0.250
Ru: 0.375 0.483 0.750
Ru: 0.875 0.767 0.750
Mg: 0.000 0.000 0.000
Mg: 0.750 0.250 0.500
C: 0.500 0.500 0.000
C: 0.250 0.750 0.500

Symmetry ... I-42d (122)

---

Quick ranking, most stable first: version y, version w, version x.